# 1
KAgO: relaxed, GGA-PBE.

Calculated values
crystal system	monoclinic
DFT total energy	-3.330	eV/atom

abc: 7.2953 3.9079 9.6692
angles: 90.00 114.60 90.00
Space group P2_1/c (No. 14)
Inequivalent atoms, fractional coordinates:
K 0.1560 0.0634 0.1959 (multiplicity 4)
Ag 0.3807 0.7405 0.5160 (multiplicity 4)
O 0.0783 0.0397 0.4687 (multiplicity 4)

---

# 2
NbFe3: relaxed, GGA-PBE.

Calculated values
formation energy	-0.05	eV/atom
crystal system	cubic
DFT total energy	-8.808	eV/atom
spin magnetization	20.44	μB per cell

abc: 5.8940 5.8940 5.8940
angles: 90.00 90.00 90.00
Space group Fm-3m (No. 225)
Inequivalent atoms, fractional coordinates:
Nb 0.0000 0.0000 0.0000 (multiplicity 4)
Fe 0.0000 0.0000 0.5000 (multiplicity 4)
Fe 0.2500 0.2500 0.2500 (multiplicity 8)

---

# 3
Dy2NiPd: relaxed, GGA-PBE.

Calculated values
formation energy	-0.68	eV/atom
crystal system	monoclinic
DFT total energy	-5.671	eV/atom
spin magnetization	0.00	μB per cell

abc: 5.4733 4.4075 6.9803
angles: 90.00 90.80 90.00
Space group P2_1/m (No. 11)
Inequivalent atoms, fractional coordinates:
Dy 0.1398 0.2500 0.3084 (multiplicity 2)
Dy 0.3589 0.2500 0.8264 (multiplicity 2)
Ni 0.1325 0.7500 0.0356 (multiplicity 2)
Pd 0.3456 0.7500 0.5447 (multiplicity 2)

---

# 4
ZnHgGeSe3: relaxed, GGA-PBE.

Calculated values
crystal system	orthorhombic
DFT total energy	-2.952	eV/atom

abc: 3.8775 12.7089 11.8904
angles: 90.00 90.00 90.00
Space group Cmcm (No. 63)
Inequivalent atoms, fractional coordinates:
Zn 0.0000 0.0140 0.2500 (multiplicity 4)
Hg 0.0000 0.5000 0.0000 (multiplicity 4)
Ge 0.0000 0.2755 0.7500 (multiplicity 4)
Se 0.0000 0.1375 0.0899 (multiplicity 8)
Se 0.0000 0.3890 0.2500 (multiplicity 4)

---

# 5
NaPrAuSe3: relaxed, GGA-PBE.

Calculated values
crystal system	orthorhombic
DFT total energy	-4.327	eV/atom
spin magnetization	0.08	μB per cell

abc: 4.1443 14.0625 10.9949
angles: 90.00 90.00 90.00
Space group Cmcm (No. 63)
Inequivalent atoms, fractional coordinates:
Na 0.0000 0.2317 0.2500 (multiplicity 4)
Pr 0.0000 0.0000 0.0000 (multiplicity 4)
Au 0.0000 0.4779 0.7500 (multiplicity 4)
Se 0.0000 0.0948 0.7500 (multiplicity 4)
Se 0.0000 0.3566 0.5705 (multiplicity 8)

---

# 6
RbPrCdSe3: relaxed, GGA-PBE.

Calculated values
crystal system	orthorhombic
DFT total energy	-4.184	eV/atom
spin magnetization	0.00	μB per cell

abc: 15.6113 4.4030 11.6921
angles: 90.00 90.00 90.00
Space group Pnma (No. 62)
Inequivalent atoms, fractional coordinates:
Rb 0.2380 0.2500 0.0437 (multiplicity 4)
Pr 0.0256 0.2500 0.3485 (multiplicity 4)
Cd 0.0164 0.7500 0.1015 (multiplicity 4)
Se 0.0855 0.7500 0.8825 (multiplicity 4)
Se 0.0925 0.2500 0.5804 (multiplicity 4)
Se 0.1394 0.7500 0.2557 (multiplicity 4)

---

Question: Among the records above, which one has the lowest DFT total energy?
Answer: NbFe3